## MgMn5O8 (PBE with a Hubbard U)

Data for crystalline MgMn5O8 at its relaxed geometry.

Output
The electronic total energy is -7.08 eV/atom. As for the space-group type: F-43m. The calculation puts the size of the total moment at 13.00 μB per formula unit.

a = 5.958 Å, b = 5.958 Å, c = 5.958 Å
α = 60.00°, β = 60.00°, γ = 60.00°
Positions (direct):
O1 0.387 0.387 0.387
Mn1 0.625 0.126 0.625
O2 0.418 0.861 0.861
O3 0.861 0.418 0.861
Mn2 0.625 0.625 0.625
O4 0.861 0.861 0.861
O5 0.387 0.840 0.387
O6 0.861 0.861 0.418
Mn3 0.000 0.000 0.000
Mn4 0.625 0.625 0.126
Mg1 0.250 0.250 0.250
O7 0.387 0.387 0.840
Mn5 0.126 0.625 0.625
O8 0.840 0.387 0.387